VASP calculation (PBE) on an optimized crystal structure of KBa2Tl.

Lattice parameters (Å, degrees): 8.882 8.897 4.775 90.00 90.00 90.00
Positions (direct):
K 0.000 0.000 0.000
K 0.500 0.500 0.000
Ba 0.250 0.250 0.500
Ba 0.250 0.750 0.500
Ba 0.750 0.250 0.500
Ba 0.750 0.750 0.500
Tl 0.000 0.500 0.000
Tl 0.500 0.000 0.000

The raw total energy comes out at -1.889 eV per atom. As for the formation enthalpy at 0 K: -0.062 eV/atom. Its space group is Cmmm, No. 65.